1.
Entry from Alexandria via LeMat-Bulk: crystalline Pr2HoV at its relaxed geometry (GGA-PBE).

Output
Raw total energy, eV/atom: -5.1743
Total moment, μB/atom: 0.799
Energy of formation, kJ/mol of formula units: 247

Unit cell a=11.8786 b=11.8786 c=11.8786 alpha=16.74 beta=16.74 gamma=16.74
Fractional positions:
Pr 0.0815 0.0815 0.0815
Pr 0.9185 0.9185 0.9185
Ho 0.5000 0.5000 0.5000
V 0.0000 0.0000 0.0000

---

2.
Entry from Alexandria via LeMat-Bulk: crystalline PrHoW at its relaxed geometry (GGA-PBE).

Output
Raw total energy, eV/atom: -7.2375
Total moment, μB/atom: 0.000
Energy of formation, kJ/mol of formula units: 58

Unit cell a=3.3528 b=3.3528 c=14.1605 alpha=90.00 beta=90.00 gamma=90.00
Fractional positions:
Pr 0.2500 0.2500 0.1024
Pr 0.7500 0.7500 0.8976
Ho 0.2500 0.2500 0.6865
Ho 0.7500 0.7500 0.3135
W 0.2500 0.2500 0.4537
W 0.7500 0.7500 0.5463

---

3.
Entry from Alexandria via LeMat-Bulk: crystalline Pr3Y2Ho6 at its relaxed geometry (GGA-PBE).

Output
Raw total energy, eV/atom: -4.7018
Total moment, μB/atom: 0.000
Energy above the lowest structure with this stoichiometry, meV per atom: 110
Energy of formation, kJ/mol of formula units: 291

Unit cell a=17.0791 b=17.0791 c=17.0791 alpha=163.95 beta=163.95 gamma=22.78
Fractional positions:
Pr 0.0000 0.0000 0.0000
Pr 0.2048 0.2048 0.0000
Pr 0.7952 0.7952 0.0000
Y 0.4535 0.4535 0.0000
Y 0.5465 0.5465 0.0000
Ho 0.1211 0.6211 0.5000
Ho 0.3080 0.3080 0.0000
Ho 0.3789 0.8789 0.5000
Ho 0.6211 0.1211 0.5000
Ho 0.6920 0.6920 0.0000
Ho 0.8789 0.3789 0.5000

---

4.
Entry from Alexandria via LeMat-Bulk: crystalline PrY5Ho5 at its relaxed geometry (GGA-PBE).

Output
Raw total energy, eV/atom: -5.1600
Total moment, μB/atom: 0.000
Energy of formation, kJ/mol of formula units: 312

Unit cell a=6.0949 b=6.0949 c=11.5311 alpha=90.00 beta=90.00 gamma=120.00
Fractional positions:
Pr 0.0000 0.0000 0.0000
Y 0.0000 0.0000 0.3263
Y 0.0000 0.0000 0.6737
Y 0.3333 0.6667 0.1612
Y 0.3333 0.6667 0.8388
Y 0.6667 0.3333 0.0000
Ho 0.0020 0.5010 0.5000
Ho 0.4990 0.5010 0.5000
Ho 0.4990 0.9980 0.5000
Ho 0.6667 0.3333 0.2660
Ho 0.6667 0.3333 0.7340

---

5.
Entry from Alexandria via LeMat-Bulk: crystalline Pr4YHo15 at its relaxed geometry (GGA-PBE).

Output
Raw total energy, eV/atom: -4.6895
Total moment, μB/atom: 0.000
Energy of formation, kJ/mol of formula units: 44

Unit cell a=5.0505 b=5.0505 c=25.1290 alpha=90.00 beta=90.00 gamma=90.00
Fractional positions:
Pr 0.0000 0.0000 0.1003
Pr 0.0000 0.0000 0.3004
Pr 0.0000 0.0000 0.6996
Pr 0.0000 0.0000 0.8997
Y 0.0000 0.0000 0.5000
Ho 0.0000 0.5000 0.0000
Ho 0.0000 0.5000 0.2004
Ho 0.0000 0.5000 0.4012
Ho 0.0000 0.5000 0.5988
Ho 0.0000 0.5000 0.7996
Ho 0.5000 0.0000 0.0000
Ho 0.5000 0.0000 0.2004
Ho 0.5000 0.0000 0.4012
Ho 0.5000 0.0000 0.5988
Ho 0.5000 0.0000 0.7996
Ho 0.5000 0.5000 0.1002
Ho 0.5000 0.5000 0.3009
Ho 0.5000 0.5000 0.5000
Ho 0.5000 0.5000 0.6991
Ho 0.5000 0.5000 0.8998

---

6.
Entry from Alexandria via LeMat-Bulk: crystalline Pr5Y2Ho3 at its relaxed geometry (GGA-PBE).

Output
Raw total energy, eV/atom: -4.7590
Total moment, μB/atom: 0.000
Energy above the lowest structure with this stoichiometry, meV per atom: 126
Energy of formation, kJ/mol of formula units: 286

Unit cell a=11.1370 b=11.1370 c=11.1370 alpha=112.97 beta=77.34 gamma=145.98
Fractional positions:
Pr 0.1683 0.5888 0.7571
Pr 0.2500 0.2500 0.0000
Pr 0.2500 0.5031 0.2531
Pr 0.2500 0.9969 0.7469
Pr 0.3317 0.0888 0.4205
Pr 0.6683 0.9112 0.5795
Pr 0.7500 0.0031 0.2531
Pr 0.7500 0.4969 0.7469
Pr 0.7500 0.7500 0.0000
Pr 0.8317 0.4112 0.2429
Y 0.1704 0.9064 0.0768
Y 0.3296 0.4064 0.7361
Y 0.6704 0.5936 0.2639
Y 0.8296 0.0936 0.9232
Ho 0.1685 0.2364 0.4049
Ho 0.2500 0.7500 0.5000
Ho 0.3315 0.7364 0.0679
Ho 0.6685 0.2636 0.9321
Ho 0.7500 0.2500 0.5000
Ho 0.8315 0.7636 0.5951

---

7.
Entry from Alexandria via LeMat-Bulk: crystalline Pr6YHo8 at its relaxed geometry (GGA-PBE).

Output
Raw total energy, eV/atom: -4.6633
Total moment, μB/atom: 0.000
Energy of formation, kJ/mol of formula units: 175

Unit cell a=8.7698 b=8.7698 c=8.7698 alpha=62.76 beta=62.76 gamma=62.76
Fractional positions:
Pr 0.0372 0.7284 0.6009
Pr 0.2716 0.3991 0.9628
Pr 0.3991 0.9628 0.2716
Pr 0.6009 0.0372 0.7284
Pr 0.7284 0.6009 0.0372
Pr 0.9628 0.2716 0.3991
Y 0.5000 0.5000 0.5000
Ho 0.0767 0.0767 0.0767
Ho 0.2157 0.2507 0.6122
Ho 0.2507 0.6122 0.2157
Ho 0.3878 0.7843 0.7493
Ho 0.6122 0.2157 0.2507
Ho 0.7493 0.3878 0.7843
Ho 0.7843 0.7493 0.3878
Ho 0.9233 0.9233 0.9233

---

8.
Entry from Alexandria via LeMat-Bulk: crystalline PrY6Ho3 at its relaxed geometry (GGA-PBE).

Output
Raw total energy, eV/atom: -5.5856
Total moment, μB/atom: 0.000
Energy above the lowest structure with this stoichiometry, meV per atom: 28
Energy of formation, kJ/mol of formula units: 139

Unit cell a=11.0727 b=11.0727 c=6.2775 alpha=90.00 beta=90.00 gamma=121.73
Fractional positions:
Pr 0.2115 0.7885 0.5000
Pr 0.7885 0.2115 0.0000
Y 0.0166 0.4388 0.3463
Y 0.0498 0.9502 0.7877
Y 0.2863 0.3735 0.2013
Y 0.3110 0.6889 0.0632
Y 0.3735 0.2863 0.7013
Y 0.4388 0.0166 0.8463
Y 0.5612 0.9834 0.3463
Y 0.6265 0.7137 0.2013
Y 0.6889 0.3110 0.5632
Y 0.7137 0.6265 0.7013
Y 0.9502 0.0498 0.2877
Y 0.9834 0.5612 0.8463
Ho 0.0761 0.2907 0.7531
Ho 0.2907 0.0761 0.2531
Ho 0.3854 0.6146 0.5984
Ho 0.6146 0.3854 0.0984
Ho 0.7093 0.9239 0.7531
Ho 0.9239 0.7093 0.2531

---

9.
Entry from Alexandria via LeMat-Bulk: crystalline Pr4Y5Ho4 at its relaxed geometry (GGA-PBE).

Output
Raw total energy, eV/atom: -5.3438
Total moment, μB/atom: 0.000
Energy of formation, kJ/mol of formula units: 27

Unit cell a=9.5337 b=9.5337 c=9.5337 alpha=94.09 beta=94.09 gamma=149.03
Fractional positions:
Pr 0.0783 0.6182 0.6965
Pr 0.3818 0.0783 0.4601
Pr 0.6182 0.9217 0.5399
Pr 0.9217 0.3818 0.3035
Y 0.0000 0.0000 0.0000
Y 0.3102 0.4605 0.7707
Y 0.4605 0.6898 0.1503
Y 0.5395 0.3102 0.8497
Y 0.6898 0.5395 0.2293
Ho 0.1538 0.2299 0.3837
Ho 0.2299 0.8462 0.0761
Ho 0.7701 0.1538 0.9239
Ho 0.8462 0.7701 0.6163

---

10.
Entry from Alexandria via LeMat-Bulk: crystalline Pr3Y12Ho at its relaxed geometry (GGA-PBE).

Output
Raw total energy, eV/atom: -6.0072
Total moment, μB/atom: 0.000
Energy of formation, kJ/mol of formula units: 36

Unit cell a=5.0842 b=5.0842 c=20.3454 alpha=90.00 beta=90.00 gamma=90.00
Fractional positions:
Pr 0.0000 0.0000 0.0000
Pr 0.0000 0.0000 0.2508
Pr 0.0000 0.0000 0.7492
Y 0.0000 0.5000 0.1257
Y 0.0000 0.5000 0.3771
Y 0.0000 0.5000 0.6229
Y 0.0000 0.5000 0.8743
Y 0.5000 0.0000 0.1257
Y 0.5000 0.0000 0.3771
Y 0.5000 0.0000 0.6229
Y 0.5000 0.0000 0.8743
Y 0.5000 0.5000 0.0000
Y 0.5000 0.5000 0.2517
Y 0.5000 0.5000 0.5000
Y 0.5000 0.5000 0.7483
Ho 0.0000 0.0000 0.5000

---

11.
Entry from Alexandria via LeMat-Bulk: crystalline Pr7Y4Ho at its relaxed geometry (GGA-PBE).

Output
Raw total energy, eV/atom: -5.1892
Total moment, μB/atom: 0.000
Energy above the lowest structure with this stoichiometry, meV per atom: 0
Energy of formation, kJ/mol of formula units: 156

Unit cell a=10.0831 b=10.0831 c=6.1756 alpha=91.50 beta=91.50 gamma=42.05
Fractional positions:
Pr 0.0000 0.0000 0.0000
Pr 0.1875 0.1875 0.2608
Pr 0.2907 0.2907 0.7786
Pr 0.4656 0.4656 0.7455
Pr 0.5344 0.5344 0.2545
Pr 0.7093 0.7093 0.2214
Pr 0.8125 0.8125 0.7392
Y 0.1313 0.5959 0.2668
Y 0.4041 0.8687 0.7332
Y 0.5959 0.1313 0.2668
Y 0.8687 0.4041 0.7332
Ho 0.0000 0.0000 0.5000

---

12.
Entry from Alexandria via LeMat-Bulk: crystalline Pr6Y16Ho7 at its relaxed geometry (GGA-PBE).

Output
Raw total energy, eV/atom: -5.4232
Total moment, μB/atom: 0.250
Energy of formation, kJ/mol of formula units: 663

Unit cell a=11.2554 b=11.2554 c=11.2554 alpha=60.00 beta=60.00 gamma=60.00
Fractional positions:
Pr 0.2185 0.2185 0.7815
Pr 0.2185 0.7815 0.2185
Pr 0.2185 0.7815 0.7815
Pr 0.7815 0.2185 0.2185
Pr 0.7815 0.2185 0.7815
Pr 0.7815 0.7815 0.2185
Y 0.1323 0.6226 0.6226
Y 0.1544 0.1544 0.1544
Y 0.1544 0.1544 0.5368
Y 0.1544 0.5368 0.1544
Y 0.3774 0.3774 0.3774
Y 0.3774 0.3774 0.8677
Y 0.3774 0.8677 0.3774
Y 0.4632 0.8456 0.8456
Y 0.5368 0.1544 0.1544
Y 0.6226 0.1323 0.6226
Y 0.6226 0.6226 0.1323
Y 0.6226 0.6226 0.6226
Y 0.8456 0.4632 0.8456
Y 0.8456 0.8456 0.4632
Y 0.8456 0.8456 0.8456
Y 0.8677 0.3774 0.3774
Ho 0.0000 0.0000 0.5000
Ho 0.0000 0.5000 0.0000
Ho 0.0000 0.5000 0.5000
Ho 0.5000 0.0000 0.0000
Ho 0.5000 0.0000 0.5000
Ho 0.5000 0.5000 0.0000
Ho 0.5000 0.5000 0.5000

---

13.
Entry from Alexandria via LeMat-Bulk: crystalline Pr5YHo6 at its relaxed geometry (GGA-PBE).

Output
Raw total energy, eV/atom: -4.7988
Total moment, μB/atom: 0.000
Energy above the lowest structure with this stoichiometry, meV per atom: 5
Energy of formation, kJ/mol of formula units: 23

Unit cell a=6.2071 b=7.2631 c=9.5591 alpha=112.26 beta=90.94 gamma=90.05
Fractional positions:
Pr 0.0000 0.0000 0.0000
Pr 0.3325 0.3345 0.6690
Pr 0.3338 0.8332 0.6665
Pr 0.6662 0.1668 0.3335
Pr 0.6675 0.6655 0.3310
Y 0.0000 0.5000 0.0000
Ho 0.1671 0.4162 0.3320
Ho 0.1672 0.9157 0.3320
Ho 0.5001 0.2506 0.0000
Ho 0.4999 0.7494 0.0000
Ho 0.8328 0.0843 0.6680
Ho 0.8329 0.5838 0.6680

---

14.
Entry from Alexandria via LeMat-Bulk: crystalline Pr2YHo at its relaxed geometry (GGA-PBE).

Output
Raw total energy, eV/atom: -5.1250
Total moment, μB/atom: 0.000
Energy above the lowest structure with this stoichiometry, meV per atom: 15
Energy of formation, kJ/mol of formula units: 10

Unit cell a=5.8464 b=7.4031 c=6.3476 alpha=90.00 beta=90.00 gamma=90.00
Fractional positions:
Pr 0.2500 0.0000 0.1693
Pr 0.2500 0.5000 0.1693
Pr 0.7500 0.0000 0.8307
Pr 0.7500 0.5000 0.8307
Y 0.2500 0.2500 0.6634
Y 0.7500 0.7500 0.3366
Ho 0.2500 0.7500 0.6666
Ho 0.7500 0.2500 0.3334

---

15.
Entry from Alexandria via LeMat-Bulk: crystalline Pr12Y4Ho at its relaxed geometry (GGA-PBE).

Output
Raw total energy, eV/atom: -5.0507
Total moment, μB/atom: 0.000
Energy of formation, kJ/mol of formula units: 186

Unit cell a=9.1735 b=9.1735 c=9.1735 alpha=109.47 beta=109.47 gamma=109.47
Fractional positions:
Pr 0.0000 0.2907 0.2907
Pr 0.0000 0.7093 0.7093
Pr 0.2500 0.5000 0.7500
Pr 0.2500 0.7500 0.5000
Pr 0.2907 0.0000 0.2907
Pr 0.2907 0.2907 0.0000
Pr 0.5000 0.2500 0.7500
Pr 0.5000 0.7500 0.2500
Pr 0.7093 0.0000 0.7093
Pr 0.7093 0.7093 0.0000
Pr 0.7500 0.2500 0.5000
Pr 0.7500 0.5000 0.2500
Y 0.0000 0.0000 0.5000
Y 0.0000 0.5000 0.0000
Y 0.5000 0.0000 0.0000
Y 0.5000 0.5000 0.5000
Ho 0.0000 0.0000 0.0000

---

16.
Entry from Alexandria via LeMat-Bulk: crystalline Pr2YHo at its relaxed geometry (GGA-PBE).

Output
Raw total energy, eV/atom: -5.0512
Total moment, μB/atom: 0.000
Energy above the lowest structure with this stoichiometry, meV per atom: 89
Energy of formation, kJ/mol of formula units: 38

Unit cell a=5.7786 b=5.7786 c=5.7786 alpha=60.00 beta=60.00 gamma=60.00
Fractional positions:
Pr 0.2500 0.2500 0.2500
Pr 0.7500 0.7500 0.7500
Y 0.0000 0.0000 0.0000
Ho 0.5000 0.5000 0.5000

---

17.
Entry from Alexandria via LeMat-Bulk: crystalline Pr5Y2Ho4 at its relaxed geometry (GGA-PBE).

Output
Raw total energy, eV/atom: -4.8817
Total moment, μB/atom: 0.000
Energy above the lowest structure with this stoichiometry, meV per atom: 0
Energy of formation, kJ/mol of formula units: 139

Unit cell a=9.2669 b=9.2669 c=11.9035 alpha=101.71 beta=101.71 gamma=22.44
Fractional positions:
Pr 0.0000 0.0000 0.0000
Pr 0.3345 0.3345 0.9976
Pr 0.3508 0.3508 0.4886
Pr 0.6492 0.6492 0.5114
Pr 0.6655 0.6655 0.0024
Y 0.1491 0.1491 0.2555
Y 0.8509 0.8509 0.7445
Ho 0.1882 0.1882 0.7630
Ho 0.4816 0.4816 0.2728
Ho 0.5184 0.5184 0.7272
Ho 0.8118 0.8118 0.2370

---

18.
Entry from Alexandria via LeMat-Bulk: crystalline Pr3Y6Ho at its relaxed geometry (GGA-PBE).

Output
Raw total energy, eV/atom: -5.6284
Total moment, μB/atom: 0.000
Energy above the lowest structure with this stoichiometry, meV per atom: 0
Energy of formation, kJ/mol of formula units: 137

Unit cell a=10.9601 b=10.9601 c=6.4648 alpha=90.00 beta=90.00 gamma=119.77
Fractional positions:
Pr 0.1137 0.8863 0.5000
Pr 0.2069 0.4358 0.1067
Pr 0.4358 0.2069 0.6067
Pr 0.5642 0.7931 0.1067
Pr 0.7931 0.5642 0.6067
Pr 0.8863 0.1137 0.0000
Y 0.0280 0.4456 0.6972
Y 0.1240 0.2128 0.5164
Y 0.2128 0.1240 0.0164
Y 0.2330 0.7670 0.9129
Y 0.4456 0.0280 0.1972
Y 0.4614 0.5386 0.7098
Y 0.5386 0.4614 0.2098
Y 0.5544 0.9720 0.6972
Y 0.7670 0.2330 0.4129
Y 0.7872 0.8760 0.5164
Y 0.8760 0.7872 0.0164
Y 0.9720 0.5544 0.1972
Ho 0.3080 0.6920 0.4349
Ho 0.6920 0.3080 0.9349

---

19.
Entry from Alexandria via LeMat-Bulk: crystalline Pr7YHo2 at its relaxed geometry (GGA-PBE).

Output
Raw total energy, eV/atom: -4.2835
Total moment, μB/atom: 0.000
Energy of formation, kJ/mol of formula units: 602

Unit cell a=9.4157 b=9.4157 c=5.7217 alpha=90.00 beta=90.00 gamma=123.33
Fractional positions:
Pr 0.0000 0.0000 0.0000
Pr 0.2067 0.4340 0.0000
Pr 0.2778 0.7222 0.5000
Pr 0.4340 0.2067 0.0000
Pr 0.5660 0.7933 0.0000
Pr 0.7222 0.2778 0.5000
Pr 0.7933 0.5660 0.0000
Y 0.5000 0.5000 0.5000
Ho 0.2051 0.7949 0.0000
Ho 0.7949 0.2051 0.0000